Entry from Alexandria via LeMat-Bulk: Pr2HoAl4Pt3 after structural relaxation (GGA-PBE).

Values from the calculation:
- total DFT energy (no corrections) (eV/atom) = -5.637
- magnetization (μB per cell) = 0.000
- mass density (g/cm3) = 8.94
- DOS(E_F) (states/eV/atom) = 0.861
- formation energy (meV per atom) = -914

Cell lengths 4.289, 4.289, 11.514 Å; angles 90.00, 90.00, 90.00 degrees
Fractional positions:
Pr 0.000 0.500 0.229
Pr 0.500 0.000 0.771
Ho 0.000 0.000 0.500
Al 0.000 0.000 0.000
Al 0.000 0.500 0.667
Al 0.500 0.000 0.333
Al 0.500 0.500 0.000
Pt 0.000 0.500 0.880
Pt 0.500 0.000 0.120
Pt 0.500 0.500 0.500